(1)
CeNd8Y3 | GGA-PBE | relaxed Values from VASP.

Structure (Quantum ESPRESSO input):
```
&SYSTEM
  ibrav = 0, nat = 12, ntyp = 3
/
ATOMIC_SPECIES
Nd 144.24 Nd.upf
Y 88.91 Y.upf
Ce 140.12 Ce.upf
CELL_PARAMETERS angstrom
1.058 -5.170 -6.641
6.848 1.930 4.618
-4.390 -2.954 6.629
ATOMIC_POSITIONS crystal
Nd 0.000 0.638 0.881
Nd 0.000 0.257 0.785
Y 0.000 0.500 0.500
Y 0.500 0.250 0.750
Nd 0.472 0.215 0.215
Nd 0.000 0.881 0.638
Nd 0.528 0.743 0.743
Ce 0.000 0.000 0.000
Y 0.500 0.750 0.250
Nd 0.757 0.119 0.119
Nd 0.000 0.785 0.257
Nd 0.243 0.362 0.362
```

Properties
- ΔH_f (0 K): 52.5 kJ per mole of atoms
- Density: 5.82 g cm⁻³
- VASP energy: -56.9 eV per formula unit

(2)
MnNi2PtN | GGA-PBE | relaxed Values from VASP.

Structure (Quantum ESPRESSO input):
```
&SYSTEM
  ibrav = 0, nat = 5, ntyp = 4
/
ATOMIC_SPECIES
N 14.01 N.upf
Ni 58.69 Ni.upf
Pt 195.08 Pt.upf
Mn 54.94 Mn.upf
CELL_PARAMETERS angstrom
3.816 0.000 0.000
0.000 3.816 0.000
0.000 0.000 3.916
ATOMIC_POSITIONS crystal
N 0.000 0.000 0.000
Ni 0.500 0.000 0.000
Ni 0.000 0.500 0.000
Pt 0.500 0.500 0.500
Mn 0.000 0.000 0.500
```

Properties
- Uncorrected formation energy: -171 meV per atom
- Density: 11.10 g cm⁻³
- VASP energy: -36.0 eV per formula unit

(3)
BiW | GGA-PBE | relaxed Values from VASP.

Structure (Quantum ESPRESSO input):
```
&SYSTEM
  ibrav = 0, nat = 16, ntyp = 2
/
ATOMIC_SPECIES
W 183.84 W.upf
Bi 208.98 Bi.upf
CELL_PARAMETERS angstrom
-2.921 -2.316 -10.531
-4.866 -9.454 3.428
-2.792 1.591 0.425
ATOMIC_POSITIONS crystal
W 0.594 0.905 0.000
W 0.406 0.095 0.000
W 0.095 0.594 0.000
Bi 0.817 0.136 0.000
Bi 0.683 0.364 0.500
Bi 0.636 0.683 0.500
Bi 0.183 0.864 0.000
W 0.906 0.595 0.500
W 0.094 0.405 0.500
W 0.905 0.406 0.000
W 0.405 0.906 0.500
Bi 0.364 0.317 0.500
Bi 0.136 0.183 0.000
W 0.595 0.094 0.500
Bi 0.317 0.636 0.500
Bi 0.864 0.817 0.000
```

Properties
- ΔH_f (0 K): 54.7 kJ per mole of atoms
- Distance to the lowest polymorph of the same formula: 0.0498 eV per atom
- Density: 12.90 g cm⁻³
- VASP energy: -15.7 eV per formula unit

(4)
Ba2Ca2Si | GGA-PBE | relaxed Values from VASP.

Structure (Quantum ESPRESSO input):
```
&SYSTEM
  ibrav = 0, nat = 10, ntyp = 3
/
ATOMIC_SPECIES
Ca 40.08 Ca.upf
Ba 137.33 Ba.upf
Si 28.09 Si.upf
CELL_PARAMETERS angstrom
-3.421 1.466 -7.173
-6.067 -4.999 1.872
-3.201 4.826 2.513
ATOMIC_POSITIONS crystal
Ca 0.160 0.340 0.000
Ba 0.675 0.825 0.500
Ca 0.340 0.840 0.000
Ba 0.825 0.325 0.500
Ca 0.840 0.660 0.000
Si 0.500 0.500 0.000
Ba 0.325 0.175 0.500
Ca 0.660 0.160 0.000
Si 0.000 0.000 0.000
Ba 0.175 0.675 0.500
```

Properties
- Uncorrected formation energy: 22 meV per atom
- Density: 3.08 g cm⁻³
- VASP energy: -13.2 eV per formula unit

(5)
Dy4Zn3Ag | GGA-PBE | relaxed Values from VASP.

Structure (Quantum ESPRESSO input):
```
&SYSTEM
  ibrav = 0, nat = 8, ntyp = 3
/
ATOMIC_SPECIES
Zn 65.41 Zn.upf
Dy 162.50 Dy.upf
Ag 107.87 Ag.upf
CELL_PARAMETERS angstrom
3.630 0.000 0.000
0.000 4.572 0.000
0.000 0.000 11.374
ATOMIC_POSITIONS crystal
Zn 0.000 0.500 0.571
Zn 0.500 0.000 0.925
Dy 0.000 0.000 0.153
Ag 0.500 0.500 0.072
Dy 0.000 0.500 0.846
Dy 0.500 0.000 0.652
Dy 0.500 0.500 0.352
Zn 0.000 0.000 0.430
```

Properties
- ΔH_f (0 K): -27.4 kJ per mole of atoms
- Distance to the lowest polymorph of the same formula: 0.0559 eV per atom
- Density: 8.39 g cm⁻³
- VASP energy: -27.4 eV per formula unit

(6)
Sm3SbH | GGA-PBE | relaxed Values from VASP.

Structure (Quantum ESPRESSO input):
```
&SYSTEM
  ibrav = 0, nat = 5, ntyp = 3
/
ATOMIC_SPECIES
Sb 121.76 Sb.upf
Sm 150.36 Sm.upf
H 1.01 H.upf
CELL_PARAMETERS angstrom
4.886 0.000 0.000
0.000 4.886 0.000
0.000 0.000 4.886
ATOMIC_POSITIONS crystal
Sb 0.500 0.500 0.500
Sm 0.500 0.000 0.000
H 0.000 0.000 0.000
Sm 0.000 0.000 0.500
Sm 0.000 0.500 0.000
```

Properties
- Distance to the lowest polymorph of the same formula: 0.0000 eV per atom
- Density: 8.17 g cm⁻³
- VASP energy: -24.5 eV per formula unit

(7)
La5IrCl5 | GGA-PBE | relaxed Values from VASP.

Structure (Quantum ESPRESSO input):
```
&SYSTEM
  ibrav = 0, nat = 11, ntyp = 3
/
ATOMIC_SPECIES
Cl 35.45 Cl.upf
La 138.91 La.upf
Ir 192.22 Ir.upf
CELL_PARAMETERS angstrom
5.936 0.000 0.000
-2.968 6.127 -2.226
0.000 0.073 8.562
ATOMIC_POSITIONS crystal
Cl 0.653 0.306 0.803
La 0.500 0.000 0.000
Cl 0.665 0.331 0.354
Cl 0.335 0.669 0.646
Cl 0.347 0.694 0.197
La 0.828 0.657 0.148
La 0.172 0.343 0.852
Cl 0.000 0.000 0.500
La 0.846 0.692 0.693
Ir 0.000 0.000 0.000
La 0.154 0.308 0.307
```

Properties
- Uncorrected formation energy: -1614 meV per atom
- Density: 5.66 g cm⁻³
- VASP energy: -60.5 eV per formula unit

(8)
LiMg3CdAg | GGA-PBE | relaxed Values from VASP.

Structure (Quantum ESPRESSO input):
```
&SYSTEM
  ibrav = 0, nat = 12, ntyp = 4
/
ATOMIC_SPECIES
Mg 24.30 Mg.upf
Cd 112.41 Cd.upf
Li 6.94 Li.upf
Ag 107.87 Ag.upf
CELL_PARAMETERS angstrom
-2.388 -1.949 -3.435
4.963 -2.909 -1.800
-3.948 -5.356 5.782
ATOMIC_POSITIONS crystal
Mg 0.250 0.615 0.799
Cd 0.250 0.119 0.303
Li 0.750 0.880 0.370
Mg 0.750 0.848 0.039
Ag 0.750 0.369 0.871
Mg 0.750 0.362 0.549
Mg 0.250 0.638 0.451
Mg 0.250 0.152 0.961
Cd 0.750 0.881 0.697
Mg 0.750 0.385 0.201
Li 0.250 0.120 0.630
Ag 0.250 0.631 0.129
```

Properties
- ΔH_f (0 K): -15.8 kJ per mole of atoms
- Density: 4.22 g cm⁻³
- VASP energy: -11.4 eV per formula unit

(9)
Sc2ZnAsS | GGA-PBE | relaxed Values from VASP.

Structure (Quantum ESPRESSO input):
```
&SYSTEM
  ibrav = 0, nat = 5, ntyp = 4
/
ATOMIC_SPECIES
As 74.92 As.upf
S 32.06 S.upf
Sc 44.96 Sc.upf
Zn 65.41 Zn.upf
CELL_PARAMETERS angstrom
-4.170 -2.742 -1.351
0.421 -2.344 3.460
-3.013 3.300 2.602
ATOMIC_POSITIONS crystal
As 0.500 0.500 0.500
S 0.000 0.500 0.000
Sc 0.500 0.000 0.000
Sc 0.000 0.000 0.500
Zn 0.000 0.000 0.000
```

Properties
- Uncorrected formation energy: 19 meV per atom
- Density: 3.88 g cm⁻³
- VASP energy: -22.6 eV per formula unit

(10)
HoThInPb | GGA-PBE | relaxed Values from VASP.

Structure (Quantum ESPRESSO input):
```
&SYSTEM
  ibrav = 0, nat = 4, ntyp = 4
/
ATOMIC_SPECIES
In 114.82 In.upf
Ho 164.93 Ho.upf
Th 232.04 Th.upf
Pb 207.20 Pb.upf
CELL_PARAMETERS angstrom
5.459 0.000 0.000
2.729 4.727 0.000
2.729 1.576 4.457
ATOMIC_POSITIONS crystal
In 0.250 0.250 0.250
Ho 0.500 0.500 0.500
Th 0.000 0.000 0.000
Pb 0.750 0.750 0.750
```

Properties
- ΔH_f (0 K): -25.9 kJ per mole of atoms
- Density: 10.38 g cm⁻³
- VASP energy: -19.5 eV per formula unit

(11)
ScTiV | GGA-PBE | relaxed Values from VASP.

Structure (Quantum ESPRESSO input):
```
&SYSTEM
  ibrav = 0, nat = 12, ntyp = 3
/
ATOMIC_SPECIES
Ti 47.87 Ti.upf
V 50.94 V.upf
Sc 44.96 Sc.upf
CELL_PARAMETERS angstrom
5.537 0.000 -0.235
0.000 5.796 0.000
-1.880 0.000 6.902
ATOMIC_POSITIONS crystal
Ti 0.098 0.061 0.691
V 0.388 0.834 0.527
V 0.612 0.166 0.473
Sc 0.161 0.404 0.378
Sc 0.339 0.904 0.122
Ti 0.402 0.561 0.809
Ti 0.598 0.439 0.191
V 0.112 0.334 0.973
Sc 0.661 0.096 0.878
Ti 0.902 0.939 0.309
Sc 0.839 0.596 0.622
V 0.888 0.666 0.027
```

Properties
- ΔH_f (0 K): 20.0 kJ per mole of atoms
- Distance to the lowest polymorph of the same formula: 0.0698 eV per atom
- Density: 4.36 g cm⁻³
- VASP energy: -22.7 eV per formula unit

(12)
La3Co4Ge4 | GGA-PBE | relaxed Values from VASP.

Structure (Quantum ESPRESSO input):
```
&SYSTEM
  ibrav = 0, nat = 11, ntyp = 3
/
ATOMIC_SPECIES
Ge 72.64 Ge.upf
Co 58.93 Co.upf
La 138.91 La.upf
CELL_PARAMETERS angstrom
4.138 -0.001 -0.001
-0.001 4.132 -0.001
-2.071 -2.069 12.290
ATOMIC_POSITIONS crystal
Ge 0.300 0.800 0.600
Co 0.398 0.899 0.798
Co 0.250 0.249 0.499
Ge 0.700 0.200 0.400
Co 0.602 0.101 0.202
La 0.852 0.352 0.704
La 0.000 0.000 0.000
La 0.147 0.648 0.296
Ge 0.552 0.552 0.105
Ge 0.448 0.448 0.895
Co 0.750 0.751 0.501
```

Properties
- ΔH_f (0 K): -54.7 kJ per mole of atoms
- Density: 7.45 g cm⁻³
- VASP energy: -67.9 eV per formula unit